Entry 1:
Crystalline Hg2Bi7Pb12 at its relaxed geometry, computed with GGA-PBE.

Unit cell a=13.4753 b=13.4753 c=4.7418 alpha=90.00 beta=90.00 gamma=120.00
Last column: nearest neighbours and their distance in Å.
Element x y z (fractional)
Bi 0.4534 0.0874 0.5000  7 Pb 3.26-3.45
Bi 0.7450 0.9422 0.0000  7 Pb 3.20-3.47
Bi 0.9126 0.3660 0.5000  7 Pb 3.26-3.45
Bi 0.3333 0.6667 0.0000  9 Pb 3.26-3.57
Bi 0.0578 0.8028 0.0000  7 Pb 3.20-3.47
Bi 0.6340 0.5466 0.5000  7 Pb 3.26-3.45
Bi 0.1972 0.2550 0.0000  7 Pb 3.20-3.47
Pb 0.5595 0.7520 0.5000  5 Bi 3.38-3.57, 2 Pb 3.77
Pb 0.1925 0.4405 0.5000  5 Bi 3.38-3.57, 2 Pb 3.77
Pb 0.2480 0.8075 0.5000  5 Bi 3.38-3.57, 2 Pb 3.77
Pb 0.7110 0.0904 0.5000  4 Bi 3.28-3.45, 4 Pb 3.47-3.61
Pb 0.3795 0.2890 0.5000  4 Bi 3.28-3.45, 4 Pb 3.47-3.61
Pb 0.2738 0.0566 0.0000  4 Bi 3.20-3.31
Pb 0.9434 0.2173 0.0000  4 Bi 3.20-3.31
Pb 0.9096 0.6205 0.5000  4 Bi 3.28-3.45, 4 Pb 3.47-3.61
Pb 0.7827 0.7262 0.0000  4 Bi 3.20-3.31
Pb 0.0555 0.5542 0.0000  4 Bi 3.26-3.34, 2 Pb 3.47
Pb 0.4986 0.9445 0.0000  4 Bi 3.26-3.34, 2 Pb 3.47
Pb 0.4458 0.5014 0.0000  4 Bi 3.26-3.34, 2 Pb 3.47
Hg 0.6667 0.3333 0.0000  6 Bi 3.92, 6 Pb 4.32
Hg 0.0000 0.0000 0.5000  6 Bi 3.92, 6 Pb 4.12

## Properties
Mass density in Mg/m³: 9.69
Space group: P-6 (174)
Energy of formation from the pure elements in eV per atom: 0.059

---

Entry 2:
Crystalline Hg3BiPb12 at its relaxed geometry, computed with GGA-PBE.

Unit cell a=5.0094 b=5.0094 c=19.2791 alpha=90.00 beta=90.00 gamma=90.00
Last column: nearest neighbours and their distance in Å.
Element x y z (fractional)
Pb 0.0000 0.5000 0.8690  8 Pb 3.42-3.56, 2 Hg 3.46, 2 Bi 3.56
Pb 0.5000 0.5000 0.5000  8 Pb 3.45, 4 Hg 3.54
Pb 0.5000 0.0000 0.1310  8 Pb 3.42-3.56, 2 Hg 3.46, 2 Bi 3.56
Pb 0.5000 0.5000 0.0000  4 Bi 3.54, 8 Pb 3.56
Pb 0.0000 0.5000 0.6230  4 Hg 3.44-3.45, 8 Pb 3.45-3.54
Pb 0.5000 0.5000 0.7481  8 Pb 3.42-3.48, 4 Hg 3.54
Pb 0.5000 0.0000 0.6230  4 Hg 3.44-3.45, 8 Pb 3.45-3.54
Pb 0.5000 0.0000 0.3770  4 Hg 3.44-3.45, 8 Pb 3.45-3.54
Pb 0.5000 0.5000 0.2519  8 Pb 3.42-3.48, 4 Hg 3.54
Pb 0.0000 0.5000 0.1310  8 Pb 3.42-3.56, 2 Hg 3.46, 2 Bi 3.56
Pb 0.5000 0.0000 0.8690  8 Pb 3.42-3.56, 2 Hg 3.46, 2 Bi 3.56
Pb 0.0000 0.5000 0.3770  4 Hg 3.44-3.45, 8 Pb 3.45-3.54
Hg 0.0000 0.0000 0.5000  12 Pb 3.45-3.54
Hg 0.0000 0.0000 0.2545  12 Pb 3.44-3.54
Hg 0.0000 0.0000 0.7455  12 Pb 3.44-3.54
Bi 0.0000 0.0000 0.0000  12 Pb 3.54-3.56

## Properties
Mass density in Mg/m³: 11.32
Space group: P4/mmm (123)
Energy of formation from the pure elements in eV per atom: 0.018

---

Entry 3:
Crystalline Hg4BiPb4 at its relaxed geometry, computed with GGA-PBE.

Unit cell a=4.3322 b=8.0839 c=8.0839 alpha=85.88 beta=74.46 gamma=74.46
Last column: nearest neighbours and their distance in Å.
Element x y z (fractional)
Bi 0.5000 0.5000 0.0000  8 Pb 3.36, 4 Hg 3.74
Pb 0.8352 0.8291 0.0004  2 Bi 3.36, 6 Hg 3.42-3.70, 4 Pb 3.43-3.63
Pb 0.8356 0.4996 0.3291  2 Bi 3.36, 6 Hg 3.42-3.70, 4 Pb 3.43-3.63
Pb 0.1648 0.1709 0.9996  2 Bi 3.36, 6 Hg 3.42-3.70, 4 Pb 3.43-3.63
Pb 0.1644 0.5004 0.6709  2 Bi 3.36, 6 Hg 3.42-3.70, 4 Pb 3.43-3.63
Hg 0.1605 0.8391 0.3398  5 Hg 3.31-3.54, 6 Pb 3.42-3.70
Hg 0.8395 0.1609 0.6602  5 Hg 3.31-3.54, 6 Pb 3.42-3.70
Hg 0.5003 0.1602 0.3391  5 Hg 3.31-3.54, 6 Pb 3.42-3.70
Hg 0.4997 0.8398 0.6609  5 Hg 3.31-3.54, 6 Pb 3.42-3.70

## Properties
Mass density in Mg/m³: 11.63
Space group: I4/mmm (139)
Energy of formation from the pure elements in eV per atom: 0.035

---

Entry 4:
Crystalline Hg3Bi2Pb at its relaxed geometry, computed with GGA-PBE.

Unit cell a=9.8414 b=5.1228 c=9.8414 alpha=76.95 beta=57.82 gamma=103.05
Last column: nearest neighbours and their distance in Å.
Element x y z (fractional)
Pb 0.1382 0.7500 0.1382  4 Bi 3.25-3.44, 4 Hg 3.32-3.45
Pb 0.8618 0.2500 0.8618  4 Bi 3.25-3.44, 4 Hg 3.32-3.45
Hg 0.5627 0.2500 0.5627  6 Hg 3.27-3.35, 2 Bi 3.28
Hg 0.4373 0.7500 0.4373  6 Hg 3.27-3.35, 2 Bi 3.28
Hg 0.1458 0.9080 0.7416  5 Hg 3.21-3.41, 1 Bi 3.30, 2 Pb 3.32-3.45
Hg 0.8542 0.0920 0.2584  5 Hg 3.21-3.41, 1 Bi 3.30, 2 Pb 3.32-3.45
Hg 0.2584 0.4080 0.8542  5 Hg 3.21-3.41, 1 Bi 3.30, 2 Pb 3.32-3.45
Hg 0.7416 0.5920 0.1458  5 Hg 3.21-3.41, 1 Bi 3.30, 2 Pb 3.32-3.45
Bi 0.4369 0.1848 0.1365  3 Bi 3.15-3.48, 2 Pb 3.25-3.44, 2 Hg 3.28-3.30
Bi 0.5631 0.8152 0.8635  3 Bi 3.15-3.48, 2 Pb 3.25-3.44, 2 Hg 3.28-3.30
Bi 0.1365 0.3152 0.4369  3 Bi 3.15-3.48, 2 Pb 3.25-3.44, 2 Hg 3.28-3.30
Bi 0.8635 0.6848 0.5631  3 Bi 3.15-3.48, 2 Pb 3.25-3.44, 2 Hg 3.28-3.30

## Properties
Mass density in Mg/m³: 10.97
Space group: C2/c (15)
Energy of formation from the pure elements in eV per atom: 0.049

---

Entry 5:
Crystalline Hg7Bi2Pb2 at its relaxed geometry, computed with GGA-PBE.

Unit cell a=5.8391 b=7.7072 c=7.7072 alpha=79.10 beta=77.01 gamma=77.01
Last column: nearest neighbours and their distance in Å.
Element x y z (fractional)
Hg 0.1982 0.6024 0.9500  3 Hg 2.97-3.27, 2 Bi 3.18-3.30
Hg 0.7765 0.4622 0.4622  4 Hg 3.00-3.27
Hg 0.8018 0.3976 0.0500  3 Hg 2.97-3.27, 2 Bi 3.18-3.30
Hg 0.2235 0.5378 0.5378  4 Hg 3.00-3.27
Hg 0.8018 0.0500 0.3976  3 Hg 2.97-3.27, 2 Bi 3.18-3.30
Hg 0.1982 0.9500 0.6024  3 Hg 2.97-3.27, 2 Bi 3.18-3.30
Hg 0.0000 0.0000 0.0000  4 Hg 3.09, 4 Pb 3.43
Pb 0.5000 0.8172 0.1828  2 Bi 3.27, 8 Hg 3.43-3.59, 1 Pb 3.59
Pb 0.5000 0.1828 0.8172  2 Bi 3.27, 8 Hg 3.43-3.59, 1 Pb 3.59
Bi 0.6662 0.7598 0.7598  6 Hg 3.18-3.54, 2 Pb 3.27
Bi 0.3338 0.2402 0.2402  6 Hg 3.18-3.54, 2 Pb 3.27

## Properties
Mass density in Mg/m³: 11.40
Space group: C2/m (12)
Energy of formation from the pure elements in eV per atom: 0.077

---

Entry 6:
Crystalline Hg3Bi2Pb8 at its relaxed geometry, computed with GGA-PBE.

Unit cell a=5.8828 b=8.7176 c=9.6005 alpha=117.00 beta=104.04 gamma=90.00
Last column: nearest neighbours and their distance in Å.
Element x y z (fractional)
Pb 0.2214 0.5690 0.7154  2 Hg 3.20-3.57, 2 Bi 3.30-3.34, 2 Pb 3.41-3.44
Pb 0.8166 0.8329 0.6657  2 Hg 3.19, 2 Bi 3.30-3.39, 2 Pb 3.41
Pb 0.1834 0.1671 0.3343  2 Hg 3.19, 2 Bi 3.30-3.39, 2 Pb 3.41
Pb 0.2214 0.1464 0.7154  2 Hg 3.20-3.57, 2 Bi 3.30-3.34, 2 Pb 3.41-3.44
Pb 0.7786 0.4310 0.2846  2 Hg 3.20-3.57, 2 Bi 3.30-3.34, 2 Pb 3.41-3.44
Pb 0.7149 0.4507 0.9014  2 Hg 3.23, 1 Bi 3.26, 4 Pb 3.32-3.44
Pb 0.2851 0.5493 0.0986  2 Hg 3.23, 1 Bi 3.26, 4 Pb 3.32-3.44
Pb 0.7786 0.8536 0.2846  2 Hg 3.20-3.57, 2 Bi 3.30-3.34, 2 Pb 3.41-3.44
Hg 0.5000 0.0000 0.0000  4 Hg 3.34, 4 Pb 3.57
Hg 0.0000 0.1820 0.0000  3 Hg 3.17-3.34, 6 Pb 3.19-3.23
Hg 0.0000 0.8180 0.0000  3 Hg 3.17-3.34, 6 Pb 3.19-3.23
Bi 0.7519 0.2641 0.5281  7 Pb 3.26-3.39
Bi 0.2481 0.7359 0.4719  7 Pb 3.26-3.39

## Properties
Mass density in Mg/m³: 10.53
Space group: C2/m (12)
Energy of formation from the pure elements in eV per atom: 0.072
Polymorph energy (0 for the lowest one) in meV/atom: 0

---

Entry 7:
Crystalline HgBi3Pb7 at its relaxed geometry, computed with GGA-PBE.

Unit cell a=8.4539 b=7.0057 c=7.0057 alpha=120.00 beta=90.00 gamma=90.00
Last column: nearest neighbours and their distance in Å.
Element x y z (fractional)
Pb 0.4636 0.3307 0.1653  2 Bi 3.37, 7 Pb 3.48-3.60, 2 Hg 3.51
Pb 0.1192 0.6667 0.3333  9 Pb 3.50-3.55, 3 Bi 3.54
Pb 0.4636 0.8347 0.1653  2 Bi 3.37, 7 Pb 3.48-3.60, 2 Hg 3.51
Pb 0.1099 0.1662 0.3325  1 Hg 3.43, 2 Bi 3.44, 8 Pb 3.49-3.60
Pb 0.1099 0.6675 0.8338  1 Hg 3.43, 2 Bi 3.44, 8 Pb 3.49-3.60
Pb 0.4636 0.8347 0.6693  2 Bi 3.37, 7 Pb 3.48-3.60, 2 Hg 3.51
Pb 0.1099 0.1662 0.8338  1 Hg 3.43, 2 Bi 3.44, 8 Pb 3.49-3.60
Bi 0.7794 0.4959 0.9918  5 Pb 3.37-3.54, 4 Bi 3.42-3.59, 1 Hg 3.50
Bi 0.7794 0.4959 0.5041  5 Pb 3.37-3.54, 4 Bi 3.42-3.59, 1 Hg 3.50
Bi 0.7794 0.0082 0.5041  5 Pb 3.37-3.54, 4 Bi 3.42-3.59, 1 Hg 3.50
Hg 0.4372 0.3333 0.6667  9 Pb 3.43-3.51, 3 Bi 3.50

## Properties
Mass density in Mg/m³: 10.53
Space group: P3m1 (156)
Energy of formation from the pure elements in eV per atom: 0.049

---

Entry 8:
Crystalline Hg7BiPb12 at its relaxed geometry, computed with GGA-PBE.

Unit cell a=8.5498 b=8.5498 c=8.5498 alpha=87.68 beta=87.68 gamma=87.68
Last column: nearest neighbours and their distance in Å.
Element x y z (fractional)
Pb 0.1441 0.5370 0.6186  2 Hg 3.18-3.26, 5 Pb 3.28-3.54
Pb 0.8563 0.3041 0.7698  2 Hg 3.20-3.58, 6 Pb 3.28-3.54, 1 Bi 3.42
Pb 0.5370 0.6186 0.1441  2 Hg 3.18-3.26, 5 Pb 3.28-3.54
Pb 0.1437 0.6959 0.2302  2 Hg 3.20-3.58, 6 Pb 3.28-3.54, 1 Bi 3.42
Pb 0.3041 0.7698 0.8563  2 Hg 3.20-3.58, 6 Pb 3.28-3.54, 1 Bi 3.42
Pb 0.8559 0.4630 0.3814  2 Hg 3.18-3.26, 5 Pb 3.28-3.54
Pb 0.6959 0.2302 0.1437  2 Hg 3.20-3.58, 6 Pb 3.28-3.54, 1 Bi 3.42
Pb 0.6186 0.1441 0.5370  2 Hg 3.18-3.26, 5 Pb 3.28-3.54
Pb 0.4630 0.3814 0.8559  2 Hg 3.18-3.26, 5 Pb 3.28-3.54
Pb 0.7698 0.8563 0.3041  2 Hg 3.20-3.58, 6 Pb 3.28-3.54, 1 Bi 3.42
Pb 0.3814 0.8559 0.4630  2 Hg 3.18-3.26, 5 Pb 3.28-3.54
Pb 0.2302 0.1437 0.6959  2 Hg 3.20-3.58, 6 Pb 3.28-3.54, 1 Bi 3.42
Hg 0.5000 0.5000 0.5000  6 Pb 3.18
Hg 0.0606 0.1337 0.3699  3 Pb 3.20-3.58, 3 Hg 3.29-3.32, 1 Bi 3.47
Hg 0.6301 0.9394 0.8663  3 Pb 3.20-3.58, 3 Hg 3.29-3.32, 1 Bi 3.47
Hg 0.8663 0.6301 0.9394  3 Pb 3.20-3.58, 3 Hg 3.29-3.32, 1 Bi 3.47
Hg 0.1337 0.3699 0.0606  3 Pb 3.20-3.58, 3 Hg 3.29-3.32, 1 Bi 3.47
Hg 0.3699 0.0606 0.1337  3 Pb 3.20-3.58, 3 Hg 3.29-3.32, 1 Bi 3.47
Hg 0.9394 0.8663 0.6301  3 Pb 3.20-3.58, 3 Hg 3.29-3.32, 1 Bi 3.47
Bi 0.0000 0.0000 0.0000  6 Pb 3.42, 6 Hg 3.47

## Properties
Mass density in Mg/m³: 10.92
Space group: R-3 (148)
Energy of formation from the pure elements in eV per atom: 0.066